[1]
Material: YZn2P
Method: DFT, GGA-PBEsol
State: relaxed

a = 8.974 Å, b = 3.783 Å, c = 4.548 Å
α = 90.00°, β = 105.99°, γ = 90.00°
Fractional coordinates of all 8 atoms:
Y (0.000, 0.000, 0.000)
Y (0.500, 0.500, 0.000)
Zn (0.131, 0.500, 0.588)
Zn (0.338, 0.000, 0.470)
Zn (0.631, 0.000, 0.588)
Zn (0.838, 0.500, 0.470)
P (0.234, 0.500, 0.148)
P (0.734, 0.000, 0.148)

ρ, kg/m³: 5610
Symmetry: No. 8
Calculated formation energy, meV/atom: -536.0
E, eV/atom: -4.480
V, Å³ per cell: 148

[2]
Material: Y2ZnP
Method: DFT, GGA-PBEsol
State: relaxed

a = 3.548 Å, b = 3.549 Å, c = 6.512 Å
α = 90.00°, β = 90.10°, γ = 90.00°
Fractional coordinates of all 4 atoms:
Y (0.001, 0.000, 0.265)
Y (0.999, 0.000, 0.735)
Zn (0.500, 0.500, 0.000)
P (0.500, 0.500, 0.500)

ρ, kg/m³: 5552
Symmetry: No. 10
Calculated formation energy, meV/atom: -796.1
E, eV/atom: -6.051
V, Å³ per cell: 82